# PBE Cs2ErMnS4, optimized geometry
# Formation energy from raw total energies in meV/atom: -1208
data_Cs2ErMnS4
_cell_length_a 6.337
_cell_length_b 14.970
_cell_length_c 25.197
_cell_angle_alpha 90.00
_cell_angle_beta 90.00
_cell_angle_gamma 90.00
_symmetry_space_group_name_H-M 'F d d d'
_symmetry_Int_Tables_number 70
loop_
_symmetry_equiv_pos_as_xyz
'x,y,z'
'-x,-y,-z'
'-x+1/4,-y+1/4,z'
'x+1/4,y+1/4,-z'
'x,-y+1/4,-z+1/4'
'-x,y+1/4,z+1/4'
'-x+1/4,y,-z+1/4'
'x+1/4,-y,z+1/4'
'x,y+1/2,z+1/2'
'-x,-y+1/2,-z+1/2'
'-x+1/4,-y+3/4,z+1/2'
'x+1/4,y+3/4,-z+1/2'
'x,-y+3/4,-z+3/4'
'-x,y+3/4,z+3/4'
'-x+1/4,y+1/2,-z+3/4'
'x+1/4,-y+1/2,z+3/4'
'x+1/2,y,z+1/2'
'-x+1/2,-y,-z+1/2'
'-x+3/4,-y+1/4,z+1/2'
'x+3/4,y+1/4,-z+1/2'
'x+1/2,-y+1/4,-z+3/4'
'-x+1/2,y+1/4,z+3/4'
'-x+3/4,y,-z+3/4'
'x+3/4,-y,z+3/4'
'x+1/2,y+1/2,z'
'-x+1/2,-y+1/2,-z'
'-x+3/4,-y+3/4,z'
'x+3/4,y+3/4,-z'
'x+1/2,-y+3/4,-z+1/4'
'-x+1/2,y+3/4,z+1/4'
'-x+3/4,y+1/2,-z+1/4'
'x+3/4,-y+1/2,z+1/4'
loop_
_atom_site_label
_atom_site_fract_x
_atom_site_fract_y
_atom_site_fract_z
_atom_site_occupancy
Cs1 0.125 0.125 0.306 1
Er1 0.125 0.125 0.125 1
Mn1 0.125 0.125 0.625 1
S1 0.095 0.277 0.831 1


# PBE Cs3Er2MnS6, optimized geometry
# Formation energy from raw total energies in meV/atom: -1421
data_Cs3Er2MnS6
_cell_length_a 7.067
_cell_length_b 11.724
_cell_length_c 8.368
_cell_angle_alpha 90.00
_cell_angle_beta 107.32
_cell_angle_gamma 90.00
_symmetry_space_group_name_H-M 'C 1 2/m 1'
_symmetry_Int_Tables_number 12
loop_
_symmetry_equiv_pos_as_xyz
'x,y,z'
'-x,-y,-z'
'-x,y,-z'
'x,-y,z'
'x+1/2,y+1/2,z'
'-x+1/2,-y+1/2,-z'
'-x+1/2,y+1/2,-z'
'x+1/2,-y+1/2,z'
loop_
_atom_site_label
_atom_site_fract_x
_atom_site_fract_y
_atom_site_fract_z
_atom_site_occupancy
Cs1 0.000 0.000 0.000 1
Cs2 0.000 0.328 0.000 1
Er1 0.000 0.163 0.500 1
Mn1 0.000 0.500 0.500 1
S1 0.208 0.348 0.666 1
S2 0.224 0.000 0.694 1


# PBE Cs3Er2MnSe6, optimized geometry
# Formation energy from raw total energies in meV/atom: -1333
data_Cs3Er2MnSe6
_cell_length_a 7.358
_cell_length_b 12.247
_cell_length_c 8.702
_cell_angle_alpha 90.00
_cell_angle_beta 107.31
_cell_angle_gamma 90.00
_symmetry_space_group_name_H-M 'C 1 2/m 1'
_symmetry_Int_Tables_number 12
loop_
_symmetry_equiv_pos_as_xyz
'x,y,z'
'-x,-y,-z'
'-x,y,-z'
'x,-y,z'
'x+1/2,y+1/2,z'
'-x+1/2,-y+1/2,-z'
'-x+1/2,y+1/2,-z'
'x+1/2,-y+1/2,z'
loop_
_atom_site_label
_atom_site_fract_x
_atom_site_fract_y
_atom_site_fract_z
_atom_site_occupancy
Cs1 0.000 0.000 0.000 1
Cs2 0.000 0.327 0.000 1
Er1 0.000 0.162 0.500 1
Mn1 0.000 0.500 0.500 1
Se1 0.209 0.347 0.670 1
Se2 0.228 0.000 0.695 1